The following is a DFT calculation (GGA-PBE) of a geometry-optimized LaAgGeTe3 structure.

Values from the calculation:
Its theoretical density is 6.40 Mg/m³. As for the energy: -50.84 eV per cell. As for the crystal system: orthorhombic.

Cell: 7.609 7.609 11.632 Å, 90.00 90.00 147.23°
Atoms (fractional coordinates):
1 La 0.000 0.000 0.000
2 La 0.000 0.000 0.500
3 Ag 0.480 0.520 0.750
4 Ag 0.520 0.480 0.250
5 Ge 0.220 0.780 0.250
6 Ge 0.780 0.220 0.750
7 Te 0.106 0.894 0.750
8 Te 0.346 0.654 0.576
9 Te 0.346 0.654 0.924
10 Te 0.654 0.346 0.076
11 Te 0.654 0.346 0.424
12 Te 0.894 0.106 0.250

=====

The following is a DFT calculation (GGA-PBE) of a geometry-optimized LiAg2Ge structure.

Values from the calculation:
Its theoretical density is 6.68 Mg/m³. As for the energy: -24.88 eV per cell. As for the crystal system: hexagonal.

Cell: 4.489 4.489 8.417 Å, 90.00 90.00 120.00°
Atoms (fractional coordinates):
1 Li 0.333 0.667 0.250
2 Li 0.667 0.333 0.750
3 Ag 0.333 0.667 0.585
4 Ag 0.333 0.667 0.915
5 Ag 0.667 0.333 0.085
6 Ag 0.667 0.333 0.415
7 Ge 0.000 0.000 0.000
8 Ge 0.000 0.000 0.500

=====

The following is a DFT calculation (GGA-PBE) of a geometry-optimized LiAg2Ge structure.

Values from the calculation:
Its theoretical density is 7.20 Mg/m³. As for the energy: -12.60 eV per cell. As for the crystal system: cubic.

Cell: 4.584 4.584 4.584 Å, 60.00 60.00 60.00°
Atoms (fractional coordinates):
1 Li 0.000 0.000 0.000
2 Ag 0.250 0.250 0.250
3 Ag 0.500 0.500 0.500
4 Ge 0.750 0.750 0.750

=====

The following is a DFT calculation (GGA-PBE) of a geometry-optimized LiAgGe2 structure.

Values from the calculation:
Its theoretical density is 6.13 Mg/m³. As for the energy: -13.99 eV per cell. As for the crystal system: cubic.

Cell: 4.636 4.636 4.636 Å, 60.00 60.00 60.00°
Atoms (fractional coordinates):
1 Li 0.000 0.000 0.000
2 Ag 0.250 0.250 0.250
3 Ge 0.500 0.500 0.500
4 Ge 0.750 0.750 0.750

=====

The following is a DFT calculation (GGA-PBE) of a geometry-optimized LiAgGe structure.

Values from the calculation:
Its theoretical density is 5.51 Mg/m³. As for the energy: -9.39 eV per cell. As for the crystal system: cubic.

Cell: 4.308 4.308 4.308 Å, 60.00 60.00 60.00°
Atoms (fractional coordinates):
1 Li 0.000 0.000 0.000
2 Ag 0.500 0.500 0.500
3 Ge 0.750 0.750 0.750

=====

The following is a DFT calculation (GGA-PBE) of a geometry-optimized LiAg2Ge structure.

Values from the calculation:
Its theoretical density is 7.29 Mg/m³. As for the energy: -12.68 eV per cell. As for the crystal system: tetragonal.

Cell: 4.233 4.233 3.754 Å, 90.00 90.00 90.00°
Atoms (fractional coordinates):
1 Li 0.000 0.000 0.000
2 Ag 0.000 0.500 0.500
3 Ag 0.500 0.000 0.500
4 Ge 0.500 0.500 0.000

=====

What is the formula in the fifth record?
LiAgGe